i | This record from Alexandria via LeMat-Bulk describes a PBEsol-optimized structure of Zr2AlGa2. The functional is meta-GGA SCAN.

As for the total magnetic moment: 0.000 μB/cell.

abc: 6.6798 6.6798 4.0051
angles: 90.00 90.00 90.00
Closest atoms and distances in Å follow each position.
Space group P4/mbm (No. 127)
Inequivalent atoms, fractional coordinates:
Zr: 0.1761 0.3239 0.0000 [4 per cell]  6 Ga 2.73-2.87
Al: 0.0000 0.0000 0.5000 [2 per cell]  4 Ga 2.63
Ga: 0.1281 0.6281 0.5000 [4 per cell]  1 Ga 2.42, 2 Al 2.63


ii | This record from Alexandria via LeMat-Bulk describes a PBEsol-optimized structure of Zr2AlGa2. The functional is meta-GGA SCAN.

As for the total magnetic moment: 0.000 μB/cell.

abc: 4.2822 4.2822 11.3376
angles: 90.00 90.00 90.00
Closest atoms and distances in Å follow each position.
Space group I4/mmm (No. 139)
Inequivalent atoms, fractional coordinates:
Zr: 0.0000 0.5000 0.2500 [4 per cell]  4 Ga 2.73, 4 Zr 3.03
Al: 0.0000 0.0000 0.0000 [2 per cell]  8 Ga 3.24, 8 Zr 3.55
Ga: 0.0000 0.0000 0.3990 [4 per cell]  1 Ga 2.29


Quick ranking, most stable first: i, ii.